w.
# PBE-GGA AgRuSeBr2, optimized geometry
# Crystal system = tetragonal
data_AgRuSeBr2
_symmetry_space_group_name_H-M 'P 1'
_symmetry_Int_Tables_number 1
_cell_length_a 5.318
_cell_length_b 5.318
_cell_length_c 4.603
_cell_angle_alpha 90.00
_cell_angle_beta 90.00
_cell_angle_gamma 90.00
loop_
_symmetry_equiv_pos_as_xyz
'x,y,z'
loop_
_atom_site_label
_atom_site_fract_x
_atom_site_fract_y
_atom_site_fract_z
Ru1 0.000 0.000 0.000
Se1 0.000 0.000 0.500
Br1 0.000 0.500 0.000
Br2 0.500 0.000 0.000
Ag1 0.500 0.500 0.500

=====

x.
# PBE-GGA AgRuSeBr2, optimized geometry
# Crystal system = tetragonal
data_AgRuSeBr2
_symmetry_space_group_name_H-M 'P 1'
_symmetry_Int_Tables_number 1
_cell_length_a 5.210
_cell_length_b 5.210
_cell_length_c 5.188
_cell_angle_alpha 90.00
_cell_angle_beta 90.00
_cell_angle_gamma 90.00
loop_
_symmetry_equiv_pos_as_xyz
'x,y,z'
loop_
_atom_site_label
_atom_site_fract_x
_atom_site_fract_y
_atom_site_fract_z
Ru1 0.500 0.500 0.500
Se1 0.000 0.000 0.500
Br1 0.000 0.500 0.000
Br2 0.500 0.000 0.000
Ag1 0.000 0.000 0.000

=====

So which one is most stable? That would be w, about 733 meV per atom below the next structure.